No. 1
Entry from the Alexandria database: a geometry-optimized BaTmMg2Tl4 structure (GGA-PBE).

Cell and atoms, written as extended XYZ:
```
8
Lattice="-3.821 -3.261 0.339 0.278 -4.455 -2.329 3.301 -6.906 8.161" Properties=species:S:1:pos:R:3 pbc="T T T"
Ba 0.000 0.000 0.000
Tm -0.121 -7.311 3.086
Mg -0.390 -10.765 4.219
Mg 0.148 -3.857 1.953
Tl 1.258 -8.645 5.802
Tl -1.848 -9.356 1.349
Tl 1.605 -5.266 4.823
Tl -1.501 -5.977 0.370
```

Calculated values
For the size of the total moment, the calculation gives 0.00 μB per formula unit. As for the space group: R-3m. Its total energy is -2.628 eV per atom. The calculation puts the energy relative to the elements at -0.247 eV per atom.

=====

No. 2
Entry from the Alexandria database: a geometry-optimized BaYMg2Tl4 structure (GGA-PBE).

Cell and atoms, written as extended XYZ:
```
8
Lattice="-4.332 0.642 -2.399 -0.943 -2.565 -4.179 -6.314 -8.806 3.846" Properties=species:S:1:pos:R:3 pbc="T T T"
Ba 0.000 0.000 0.000
Y -5.794 -5.364 -1.366
Mg -8.486 -7.678 -2.321
Mg -3.103 -3.051 -0.411
Tl -7.200 -7.884 0.498
Tl -6.972 -4.965 -4.328
Tl -4.616 -5.764 1.596
Tl -4.388 -2.844 -3.230
```

Calculated values
For the size of the total moment, the calculation gives 0.00 μB per formula unit. As for the space group: R-3m. Its total energy is -2.899 eV per atom. The calculation puts the energy relative to the elements at -0.269 eV per atom.

=====

No. 3
Entry from the Alexandria database: a geometry-optimized Ba3Mg2Tl4Zn2 structure (GGA-PBE).

Cell and atoms, written as extended XYZ:
```
11
Lattice="-4.453 1.258 -2.418 -0.050 -3.407 3.957 -2.104 11.447 9.830" Properties=species:S:1:pos:R:3 pbc="T T T"
Ba -1.535 8.353 7.173
Ba 0.000 0.000 0.000
Ba -0.569 3.095 2.657
Mg -3.900 4.682 3.982
Mg -2.707 4.617 7.387
Tl -3.281 1.312 1.088
Tl -3.326 7.987 10.280
Tl -4.301 6.860 5.852
Tl -2.306 2.439 5.516
Zn -4.767 9.397 8.031
Zn -1.840 -0.098 3.337
```

Calculated values
For the size of the total moment, the calculation gives 0.00 μB per formula unit. As for the space group: P-3m1. Its total energy is -2.081 eV per atom. The calculation puts the energy relative to the elements at -0.174 eV per atom.

=====

No. 4
Entry from the Alexandria database: a geometry-optimized BaMgTl2Zn structure (GGA-PBE).

Cell and atoms, written as extended XYZ:
```
5
Lattice="-3.603 -2.220 2.411 3.080 -3.518 1.363 1.685 6.090 3.208" Properties=species:S:1:pos:R:3 pbc="T T T"
Ba 0.000 0.000 0.000
Mg -1.089 0.500 3.753
Tl 0.090 -2.074 3.145
Tl 1.072 2.426 3.837
Zn 2.252 -0.148 3.229
```

Calculated values
For the size of the total moment, the calculation gives 0.00 μB per formula unit. As for the space group: I-4m2. Its total energy is -2.119 eV per atom. The calculation puts the energy relative to the elements at -0.215 eV per atom.

=====

No. 5
Entry from the Alexandria database: a geometry-optimized BaMg2Tl4Zn structure (GGA-PBE).

Cell and atoms, written as extended XYZ:
```
8
Lattice="5.195 0.000 0.000 2.597 4.499 0.000 2.597 1.500 9.784" Properties=species:S:1:pos:R:3 pbc="T T T"
Ba 0.000 0.000 0.000
Mg 7.792 4.499 7.060
Mg 2.597 1.500 2.724
Tl 5.195 2.999 7.838
Tl 7.792 4.499 3.848
Tl 2.597 1.500 5.936
Tl 5.195 2.999 1.946
Zn 5.195 2.999 4.892
```

Calculated values
For the size of the total moment, the calculation gives 0.00 μB per formula unit. As for the space group: R-3m. Its total energy is -2.106 eV per atom. The calculation puts the energy relative to the elements at -0.125 eV per atom.

=====

No. 6
Entry from the Alexandria database: a geometry-optimized BaTmMg4 structure (GGA-PBE).

Cell and atoms, written as extended XYZ:
```
6
Lattice="-5.408 1.677 -2.692 -1.535 -2.278 -5.636 -4.658 -4.162 -0.537" Properties=species:S:1:pos:R:3 pbc="T T T"
Mg -4.915 -0.884 -5.279
Mg -6.489 -1.834 -2.709
Mg -7.262 -2.982 -5.550
Mg -4.536 -3.827 -4.193
Tm 0.000 0.000 0.000
Ba -2.900 -1.191 -2.216
```

Calculated values
For the size of the total moment, the calculation gives 0.00 μB per formula unit. As for the space group: F-43m. Its total energy is -2.137 eV per atom. The calculation puts the energy relative to the elements at -0.008 eV per atom.

=====

No. 7
Entry from the Alexandria database: a geometry-optimized BaTmMg2 structure (GGA-PBE).

Cell and atoms, written as extended XYZ:
```
4
Lattice="-4.851 2.966 -0.424 -4.168 -1.828 -3.434 -4.819 -2.083 2.224" Properties=species:S:1:pos:R:3 pbc="T T T"
Mg -3.459 -0.236 -0.409
Mg -10.378 -0.709 -1.226
Tm 0.000 0.000 0.000
Ba -6.918 -0.473 -0.817
```

Calculated values
For the size of the total moment, the calculation gives 0.00 μB per formula unit. As for the space group: Fm-3m. Its total energy is -2.324 eV per atom. The calculation puts the energy relative to the elements at 0.072 eV per atom. The excess energy over the best structure of this formula in the dataset comes out at 79.3 meV/atom.

=====

No. 8
Entry from the Alexandria database: a geometry-optimized BaTmMg2 structure (GGA-PBE).

Cell and atoms, written as extended XYZ:
```
4
Lattice="-1.614 -3.132 1.828 3.178 -2.185 -0.939 3.688 2.282 7.169" Properties=species:S:1:pos:R:3 pbc="T T T"
Mg 2.943 1.821 5.721
Mg 0.745 0.461 1.448
Tm 0.782 -2.659 0.444
Ba 2.626 -1.518 4.029
```

Calculated values
For the size of the total moment, the calculation gives 0.00 μB per formula unit. As for the space group: P4/mmm. Its total energy is -2.403 eV per atom. The calculation puts the energy relative to the elements at -0.007 eV per atom. The excess energy over the best structure of this formula in the dataset comes out at 0.0 meV/atom.

=====

No. 9
Entry from the Alexandria database: a geometry-optimized BaTmMg2 structure (GGA-PBE).

Cell and atoms, written as extended XYZ:
```
4
Lattice="-0.279 -3.607 -0.497 2.138 -1.678 -2.440 8.462 -3.478 7.073" Properties=species:S:1:pos:R:3 pbc="T T T"
Mg 7.912 -6.611 3.279
Mg 2.408 -2.153 0.858
Tm 0.000 0.000 0.000
Ba 5.160 -4.382 2.068
```

Calculated values
For the size of the total moment, the calculation gives 0.00 μB per formula unit. As for the space group: R-3m. Its total energy is -2.241 eV per atom. The calculation puts the energy relative to the elements at 0.155 eV per atom. The excess energy over the best structure of this formula in the dataset comes out at 162.5 meV/atom.

=====

No. 10
Entry from the Alexandria database: a geometry-optimized Ba2Tm2Mg15 structure (GGA-PBE).

Cell and atoms, written as extended XYZ:
```
19
Lattice="-3.674 -6.995 2.017 5.982 -3.006 4.656 -2.969 2.428 7.196" Properties=species:S:1:pos:R:3 pbc="T T T"
Ba -0.224 -2.564 4.695
Ba -0.438 -5.009 9.174
Tm -0.065 -0.747 1.368
Tm -0.596 -6.826 12.501
Mg -1.837 -3.497 1.009
Mg -1.485 1.214 3.598
Mg 2.991 -1.503 2.328
Mg 3.410 -1.444 5.386
Mg -0.899 -5.849 2.775
Mg -3.172 -0.280 5.708
Mg 3.207 -4.152 3.897
Mg -3.472 -4.287 3.505
Mg -0.397 0.867 6.466
Mg 1.404 -1.422 7.991
Mg 1.053 -6.125 5.406
Mg -3.414 -3.413 6.674
Mg -2.066 -6.151 5.878
Mg -1.714 -1.448 8.462
Mg 2.753 -4.160 7.195
```

Calculated values
For the size of the total moment, the calculation gives 0.00 μB per formula unit. As for the space group: R-3m. Its total energy is -1.966 eV per atom. The calculation puts the energy relative to the elements at -0.034 eV per atom.

=====

No. 11
Entry from the Alexandria database: a geometry-optimized BaMg2V structure (GGA-PBE).

Cell and atoms, written as extended XYZ:
```
8
Lattice="5.313 0.000 0.000 0.000 5.313 0.000 2.656 2.656 10.294" Properties=species:S:1:pos:R:3 pbc="T T T"
Mg 3.037 1.328 2.573
Mg 2.276 3.985 2.573
Mg 3.985 4.932 7.720
Mg 6.641 5.694 7.720
Ba 0.000 0.000 0.000
Ba 5.313 2.656 5.147
V 2.656 2.656 0.000
V 2.656 5.313 5.147
```

Calculated values
For the size of the total moment, the calculation gives 4.20 μB per formula unit. As for the space group: I-42d. Its total energy is -2.870 eV per atom. The calculation puts the energy relative to the elements at 0.687 eV per atom. The excess energy over the best structure of this formula in the dataset comes out at 183.5 meV/atom.

=====

No. 12
Entry from the Alexandria database: a geometry-optimized Ba3MgV structure (GGA-PBE).

Cell and atoms, written as extended XYZ:
```
5
Lattice="-0.717 5.659 2.869 -3.568 2.028 -4.891 -5.246 -2.152 2.935" Properties=species:S:1:pos:R:3 pbc="T T T"
Mg -4.766 2.767 0.456
Ba -1.784 1.014 -2.446
Ba -2.623 -1.076 1.467
Ba -0.358 2.830 1.434
V 0.000 0.000 0.000
```

Calculated values
For the size of the total moment, the calculation gives 4.21 μB per formula unit. As for the space group: Pm-3m. Its total energy is -2.661 eV per atom. The calculation puts the energy relative to the elements at 0.635 eV per atom. The excess energy over the best structure of this formula in the dataset comes out at 0.0 meV/atom.

=====

No. 13
Entry from the Alexandria database: a geometry-optimized BaMg3V structure (GGA-PBE).

Cell and atoms, written as extended XYZ:
```
5
Lattice="6.195 0.000 0.000 0.000 6.195 0.000 0.000 0.000 6.195" Properties=species:S:1:pos:R:3 pbc="T T T"
Mg 0.000 3.097 0.000
Mg 0.000 0.000 3.097
Mg 3.097 0.000 0.000
Ba 0.000 0.000 0.000
V 3.097 3.097 3.097
```

Calculated values
For the size of the total moment, the calculation gives 4.16 μB per formula unit. As for the space group: Pm-3m. Its total energy is -1.514 eV per atom. The calculation puts the energy relative to the elements at 1.651 eV per atom. The excess energy over the best structure of this formula in the dataset comes out at 1262.3 meV/atom.